Material: CuRu3S
Method: DFT, SCAN
State: single point on PBEsol structure

Cell: 4.2376 4.2376 4.2376 Å, 90.00 90.00 90.00°
Closest atoms and distances in Å follow each position.
Space group Pm-3m (No. 221)
Inequivalent atoms, fractional coordinates:
Cu 0.0000 0.0000 0.0000 [1 per cell]  12 Ru 3.00
Ru 0.0000 0.5000 0.5000 [3 per cell]  2 S 2.12
S 0.5000 0.5000 0.5000 [1 per cell]  6 Ru 2.12

The uncorrected formation energy comes out at 3.42 eV/f.u. For the total DFT energy (no corrections), the calculation gives -125.9 eV per cell. For the magnetic moment, the calculation gives 2.28 μB per formula unit. The density of states at the Fermi level comes out at 3.81 states/eV per cell.

---

Material: ZnCu2Rh
Method: DFT, SCAN
State: single point on PBEsol structure

Cell: 3.8157 3.8157 6.7948 Å, 90.00 90.00 90.00°
Closest atoms and distances in Å follow each position.
Space group I-4m2 (No. 119)
Inequivalent atoms, fractional coordinates:
Zn 0.0000 0.0000 0.0000 [2 per cell]  4 Rh 2.55, 8 Cu 2.55-2.70
Cu 0.0000 0.0000 0.5000 [2 per cell]  4 Cu 2.55, 4 Rh 2.55, 4 Zn 2.70
Cu 0.0000 0.5000 0.2500 [2 per cell]  4 Cu 2.55, 4 Zn 2.55, 4 Rh 2.70
Rh 0.0000 0.5000 0.7500 [2 per cell]  8 Cu 2.55-2.70, 4 Zn 2.55

For the total DFT energy (no corrections), the calculation gives -156.6 eV per cell. For the magnetic moment, the calculation gives 0.00 μB per formula unit. The energy relative to the elements comes out at -149 meV per atom. The density of states at the Fermi level comes out at 3.36 states/eV per cell.

---

Material: KMo12S14
Method: DFT, SCAN
State: single point on PBEsol structure

Cell: 9.0551 9.0551 16.2777 Å, 90.00 90.00 120.00°
Closest atoms and distances in Å follow each position.
Space group P-31c (No. 163)
Inequivalent atoms, fractional coordinates:
K 0.3333 0.6667 0.2500 [2 per cell]  8 S 2.96-3.28
Mo 0.1558 0.5033 0.9578 [12 per cell]  5 S 2.37-2.59
Mo 0.1633 0.4941 0.6843 [12 per cell]  4 S 2.40-2.54, 2 Mo 2.62-2.66
S 0.0184 0.3587 0.8192 [12 per cell]  4 Mo 2.44-2.59
S 0.0407 0.3479 0.5579 [12 per cell]  4 Mo 2.40-2.43
S 0.3333 0.6667 0.0683 [4 per cell]  3 Mo 2.37

The uncorrected formation energy comes out at -20.05 eV/f.u. For the total DFT energy (no corrections), the calculation gives -1163.6 eV per cell. For the magnetic moment, the calculation gives 0.00 μB per formula unit. The density of states at the Fermi level comes out at 13.13 states/eV per cell.

---

Material: VCdBiO5
Method: DFT, SCAN
State: single point on PBEsol structure

Cell: 14.1919 5.4853 11.6595 Å, 90.00 90.00 90.00°
Closest atoms and distances in Å follow each position.
Space group Pna2_1 (No. 33)
Inequivalent atoms, fractional coordinates:
V 0.1533 0.1988 0.0000 [4 per cell]  4 O 1.69-1.74
V 0.1586 0.2268 0.6489 [4 per cell]  4 O 1.70-1.74
Cd 0.0447 0.7378 0.8235 [4 per cell]  4 O 2.16-2.32
Cd 0.0859 0.7123 0.1655 [4 per cell]  6 O 2.26-2.36
Bi 0.0841 0.7540 0.4675 [4 per cell]  4 O 2.17-2.40
Bi 0.2010 0.2259 0.3147 [4 per cell]  4 O 2.17-2.37
O 0.0659 0.4319 0.6540 [4 per cell]  1 V 1.73
O 0.0772 0.9826 0.3135 [4 per cell]  2 Bi 2.19-2.21, 2 Cd 2.28-2.32
O 0.0830 0.9382 0.0033 [4 per cell]  1 V 1.74
O 0.0853 0.4808 0.3323 [4 per cell]  2 Bi 2.17, 2 Cd 2.20-2.32
O 0.0943 0.3995 0.9170 [4 per cell]  1 V 1.69
O 0.1404 0.9687 0.7286 [4 per cell]  1 V 1.71
O 0.1580 0.3367 0.1328 [4 per cell]  1 V 1.72
O 0.1676 0.1245 0.5085 [4 per cell]  1 V 1.74
O 0.2356 0.6408 0.4467 [4 per cell]  1 V 1.72
O 0.2400 0.8686 0.1888 [4 per cell]  1 V 1.70

The uncorrected formation energy comes out at -15.08 eV/f.u. For the total DFT energy (no corrections), the calculation gives -1381.8 eV per cell. For the magnetic moment, the calculation gives 0.00 μB per formula unit. The density of states at the Fermi level comes out at 0.00 states/eV per cell.

---

Material: SrZrRh2
Method: DFT, SCAN
State: single point on PBEsol structure

Cell: 3.1225 4.7683 10.5424 Å, 90.00 90.00 90.00°
Closest atoms and distances in Å follow each position.
Space group Imm2 (No. 44)
Inequivalent atoms, fractional coordinates:
Sr 0.0000 0.0000 0.0000 [2 per cell]  4 Rh 2.85, 2 Sr 3.12
Zr 0.0000 0.5000 0.7918 [2 per cell]  6 Rh 2.68-2.95
Rh 0.0000 0.0000 0.4987 [2 per cell]  2 Zr 2.68, 2 Rh 2.80, 4 Sr 2.85
Rh 0.0000 0.5000 0.2196 [2 per cell]  4 Rh 2.80-3.12, 4 Zr 2.95

For the total DFT energy (no corrections), the calculation gives -242.5 eV per cell. For the magnetic moment, the calculation gives 0.00 μB per formula unit. The energy relative to the elements comes out at -178 meV per atom. The density of states at the Fermi level comes out at 6.28 states/eV per cell.

---

Material: KBe2Ir
Method: DFT, SCAN
State: single point on PBEsol structure

Cell: 3.8007 5.5321 7.1416 Å, 90.00 90.00 90.00°
Closest atoms and distances in Å follow each position.
Space group Immm (No. 71)
Inequivalent atoms, fractional coordinates:
K 0.0000 0.0000 0.0000 [2 per cell]  8 Be 2.98-3.10
Be 0.0000 0.5000 0.1566 [4 per cell]  2 Ir 2.21, 1 Be 2.24
Ir 0.0000 0.0000 0.5000 [2 per cell]  4 Be 2.21

For the total DFT energy (no corrections), the calculation gives -171.2 eV per cell. For the magnetic moment, the calculation gives 0.00 μB per formula unit. The distance to the lowest polymorph of the same formula comes out at 204 meV per atom. The energy relative to the elements comes out at 629 meV per atom. The density of states at the Fermi level comes out at 2.73 states/eV per cell.

---

Material: SrCa2Au2
Method: DFT, SCAN
State: single point on PBEsol structure

Cell: 8.1197 8.1197 4.1630 Å, 90.00 90.00 90.00°
Closest atoms and distances in Å follow each position.
Space group P4/mbm (No. 127)
Inequivalent atoms, fractional coordinates:
Sr 0.0000 0.0000 0.0000 [2 per cell]  4 Au 3.18
Ca 0.1561 0.3439 0.5000 [4 per cell]  6 Au 3.13-3.21
Au 0.1308 0.6308 0.0000 [4 per cell]  1 Au 3.00, 6 Ca 3.13-3.21, 2 Sr 3.18

For the total DFT energy (no corrections), the calculation gives -367.8 eV per cell. For the magnetic moment, the calculation gives 0.00 μB per formula unit. The distance to the lowest polymorph of the same formula comes out at 0 meV per atom. The energy relative to the elements comes out at -801 meV per atom. The density of states at the Fermi level comes out at 7.11 states/eV per cell.

---

Material: BAuBr2
Method: DFT, SCAN
State: single point on PBEsol structure

Cell: 3.1560 3.1560 27.5260 Å, 90.00 90.00 120.00°
Closest atoms and distances in Å follow each position.
Space group R-3m (No. 166, hexagonal axes)
Inequivalent atoms, fractional coordinates:
B 0.0000 0.0000 0.0000 [3 per cell]  6 Br 2.31
Au 0.0000 0.0000 0.5000 [3 per cell]  6 Au 3.16, 2 Br 3.17
Br 0.0000 0.0000 0.3849 [6 per cell]  3 B 2.31

The uncorrected formation energy comes out at 3.62 eV/f.u. For the total DFT energy (no corrections), the calculation gives -335.7 eV per cell. For the magnetic moment, the calculation gives 0.00 μB per formula unit. The distance to the lowest polymorph of the same formula comes out at 0 meV per atom. The density of states at the Fermi level comes out at 5.00 states/eV per cell.

---

Q: Which value of total DFT energy (no corrections) does entry 7 give?
A: -367.8 eV per cell

---

Q: Which formula does entry 1 have?
A: CuRu3S

---

Q: The highest total DFT energy (no corrections) belongs to which entry?
A: CuRu3S

---

Q: The highest magnetic moment belongs to which entry?
A: CuRu3S